First-principles (PBE) data for a relaxed NaPdI crystal, as listed in the Alexandria database.

a b c (Å): 5.7148 5.7148 5.4785
angles (deg): 90.00 90.00 90.00
Positions (direct):
Na1 0.5000 0.0000 0.9706
I1 0.0000 0.0000 0.5000
I2 0.5000 0.5000 0.5000
Pd1 0.0000 0.5000 0.5273
Pd2 0.5000 0.0000 0.4727
Na2 0.0000 0.5000 0.0294

Summary:
**Uncorrected formation energy**: -0.20 eV per atom
**Relative energy among the computed polymorphs**: 328 meV per atom


First-principles (PBE) data for a relaxed Sr2EuY crystal, as listed in the Alexandria database.

a b c (Å): 4.2631 4.2631 9.7340
angles (deg): 90.00 90.00 90.00
Last column: magnetic moment on the atom in μB.
Positions (direct):
Eu1 0.5000 0.5000 0.5000  7.01
Sr1 0.0000 0.0000 0.7692  0.01
Y1 0.5000 0.5000 0.0000  -0.11
Sr2 0.0000 0.0000 0.2308  0.01

Summary:
**DFT formation energy**: 0.1523 eV/atom
**Relative energy among the computed polymorphs**: 0 meV per atom


First-principles (PBE) data for a relaxed LaIrRu2 crystal, as listed in the Alexandria database.

a b c (Å): 4.2048 4.2048 9.9316
angles (deg): 77.78 77.78 90.00
Last column: magnetic moment on the atom in μB.
Positions (direct):
Ru1 0.0145 0.6250 0.2500  0.24
Ru2 0.8750 0.9855 0.7500  0.24
Ru3 0.7355 0.1250 0.2500  0.24
Ir1 0.0000 0.0000 0.0000  0.04
Ru4 0.3750 0.2645 0.7500  0.24
La1 0.2500 0.7500 0.5000  0.02
La2 0.5000 0.5000 0.0000  0.02
Ir2 0.7500 0.2500 0.5000  0.04

Summary:
**DFT formation energy**: 0.2963 eV/atom
**Relative energy among the computed polymorphs**: 156 meV per atom


First-principles (PBE) data for a relaxed K2BaMg crystal, as listed in the Alexandria database.

a b c (Å): 6.6646 6.6646 6.6646
angles (deg): 120.29 120.23 89.55
Positions (direct):
Mg1 0.5010 0.5010 0.0000
K1 0.7500 0.2500 0.5000
K2 0.9993 0.9993 0.0000
Ba1 0.2498 0.7498 0.5000

Summary:
**DFT formation energy**: 0.1669 eV/atom
**Relative energy among the computed polymorphs**: 102 meV per atom


First-principles (PBE) data for a relaxed Li4SmBi crystal, as listed in the Alexandria database.

a b c (Å): 5.7527 5.7527 5.7527
angles (deg): 60.00 60.00 60.00
Positions (direct):
Sm1 0.2500 0.2500 0.2500
Li1 0.1256 0.6248 0.6248
Li2 0.6248 0.6248 0.6248
Li3 0.6248 0.6248 0.1256
Bi1 0.0000 0.0000 0.0000
Li4 0.6248 0.1256 0.6248

Summary:
**DFT formation energy**: -0.1215 eV/atom


First-principles (PBE) data for a relaxed LiHoNiBi crystal, as listed in the Alexandria database.

a b c (Å): 4.7532 4.7532 4.7532
angles (deg): 60.00 60.00 60.00
Positions (direct):
Ni1 0.5000 0.5000 0.5000
Ho1 0.2500 0.2500 0.2500
Bi1 0.7500 0.7500 0.7500
Li1 0.0000 0.0000 0.0000

Summary:
**DFT formation energy**: -0.3361 eV/atom


First-principles (PBE) data for a relaxed PaTeH2 crystal, as listed in the Alexandria database.

a b c (Å): 3.1674 3.1674 6.4004
angles (deg): 90.00 90.00 90.00
Last column: magnetic moment on the atom in μB.
Positions (direct):
H1 0.0000 0.0000 0.8575  -0.01
Pa1 0.5000 0.5000 0.0000  1.28
H2 0.0000 0.0000 0.1425  -0.01
Te1 0.5000 0.5000 0.5000  -0.02

Summary:
**Relative energy among the computed polymorphs**: 561 meV per atom


First-principles (PBE) data for a relaxed La2YPuP4 crystal, as listed in the Alexandria database.

a b c (Å): 4.1428 7.1474 7.1697
angles (deg): 109.46 90.00 90.00
Last column: magnetic moment on the atom in μB.
Positions (direct):
P1 0.5000 0.7588 0.7685  -0.08
P2 0.5000 0.2412 0.2315  -0.08
La1 0.5000 0.0000 0.5000  0.02
P3 0.0000 0.7474 0.2346  -0.05
Y1 0.5000 0.5000 0.0000  0.02
Pu1 0.0000 0.0000 0.0000  4.90
P4 0.0000 0.2526 0.7654  -0.05
La2 0.0000 0.5000 0.5000  0.01

Summary:
**DFT formation energy**: -1.4558 eV/atom


First-principles (PBE) data for a relaxed Be2AlHg crystal, as listed in the Alexandria database.

a b c (Å): 6.9539 6.9539 5.5819
angles (deg): 51.47 51.47 90.00
Positions (direct):
Al1 0.5000 0.5000 0.0000
Hg1 0.0000 0.0000 0.0000
Be1 0.6277 0.1250 0.2500
Al2 0.2500 0.7500 0.5000
Be2 0.3750 0.3723 0.7500
Be3 0.8750 0.8777 0.7500
Be4 0.1223 0.6250 0.2500
Hg2 0.7500 0.2500 0.5000

Summary:
**DFT formation energy**: 0.7004 eV/atom


First-principles (PBE) data for a relaxed ZrCuAu crystal, as listed in the Alexandria database.

a b c (Å): 5.0203 5.0206 3.4661
angles (deg): 69.80 69.81 40.39
Positions (direct):
Zr1 0.3301 0.3301 0.6699
Cu1 0.6618 0.6618 0.3382
Au1 0.0081 0.0081 0.9919

Summary:
**DFT formation energy**: -0.3556 eV/atom
**Relative energy among the computed polymorphs**: 10 meV per atom


First-principles (PBE) data for a relaxed LaNd2TmTh crystal, as listed in the Alexandria database.

a b c (Å): 6.4447 8.7299 6.4329
angles (deg): 98.10 90.00 90.00
Positions (direct):
Th1 0.5451 0.0000 0.2500
La1 0.0000 0.0000 0.5000
Th2 0.4549 0.0000 0.7500
Tm1 0.1716 0.5000 0.7500
Tm2 0.8284 0.5000 0.2500
Nd1 0.6890 0.6840 0.7954
Nd2 0.3110 0.6840 0.2954
La2 0.0000 0.0000 0.0000
Nd3 0.3110 0.3160 0.2046
Nd4 0.6890 0.3160 0.7046

Summary:
**DFT formation energy**: 0.3033 eV/atom


First-principles (PBE) data for a relaxed CsTlInPd2 crystal, as listed in the Alexandria database.

a b c (Å): 5.2947 6.4211 5.2947
angles (deg): 90.00 90.00 90.00
Positions (direct):
Cs1 0.0000 0.5000 0.0000
Tl1 0.0000 0.0000 0.0000
Pd1 0.0000 0.0000 0.5000
Pd2 0.5000 0.0000 0.0000
In1 0.5000 0.5000 0.5000

Summary:
**DFT formation energy**: 0.5651 eV/atom


First-principles (PBE) data for a relaxed TaNbHg2Os crystal, as listed in the Alexandria database.

a b c (Å): 5.0805 4.7294 5.0805
angles (deg): 90.00 90.00 90.00
Positions (direct):
Ta1 0.5000 0.5000 0.5000
Nb1 0.0000 0.5000 0.0000
Os1 0.0000 0.0000 0.0000
Hg1 0.5000 0.0000 0.0000
Hg2 0.0000 0.0000 0.5000

Summary:
**DFT formation energy**: 1.6588 eV/atom


First-principles (PBE) data for a relaxed Mg4Ga5Sn crystal, as listed in the Alexandria database.

a b c (Å): 5.2213 8.8342 9.1613
angles (deg): 90.00 90.00 90.00
Positions (direct):
Ga1 0.3173 0.8011 0.6643
Mg1 0.8432 0.7082 0.5000
Mg2 0.9095 0.0000 0.2782
Ga2 0.4355 0.5000 0.0000
Ga3 0.3173 0.8011 0.3357
Sn1 0.6219 0.0000 0.0000
Mg3 0.8432 0.2918 0.5000
Ga4 0.6827 0.3011 0.1643
Ga5 0.6827 0.6989 0.1643
Ga6 0.3173 0.1989 0.6643
Ga7 0.6827 0.6989 0.8357
Mg4 0.1568 0.2082 0.0000
Mg5 0.0905 0.5000 0.7782
Sn2 0.3781 0.5000 0.5000
Mg6 0.0905 0.5000 0.2218
Ga8 0.6827 0.3011 0.8357
Mg7 0.1568 0.7918 0.0000
Ga9 0.5645 0.0000 0.5000
Ga10 0.3173 0.1989 0.3357
Mg8 0.9095 0.0000 0.7218

Summary:
**DFT formation energy**: -0.0772 eV/atom


First-principles (PBE) data for a relaxed Gd3Pa5N12 crystal, as listed in the Alexandria database.

a b c (Å): 12.0887 12.0887 12.0887
angles (deg): 109.47 109.47 109.47
Last column: magnetic moment on the atom in μB.
Positions (direct):
N1 0.0299 0.3925 0.8286  -0.04
N2 0.1714 0.1075 0.9701  -0.04
N3 0.4701 0.7987 0.8626  -0.04
N4 0.6075 0.9701 0.6714  -0.04
N5 0.2987 0.4361 0.8286  -0.04
Pa1 0.0000 0.5000 0.5000  -0.01
N6 0.0639 0.1714 0.2013  -0.04
Gd1 0.1250 0.2500 0.8750  6.91
N7 0.4361 0.1374 0.6075  -0.04
N8 0.6714 0.4701 0.6075  -0.04
N9 0.0299 0.6374 0.7013  -0.04
N10 0.4701 0.6714 0.1075  -0.04
N11 0.9361 0.1075 0.6374  -0.04
Pa2 0.1250 0.7500 0.3750  0.00
N12 0.7987 0.3286 0.9361  -0.04
Pa3 0.8750 0.2500 0.6250  0.00
Pa4 0.3750 0.1250 0.7500  0.00
Pa5 0.5000 0.0000 0.0000  -0.01
Pa6 0.6250 0.7500 0.8750  0.00
Pa7 0.2500 0.3750 0.6250  0.00
N13 0.5299 0.2013 0.1374  -0.04
Pa8 0.5000 0.5000 0.0000  -0.01
Gd2 0.3750 0.7500 0.6250  6.91
N14 0.1075 0.9361 0.1374  -0.04
N15 0.3626 0.9701 0.7987  -0.04
N16 0.4361 0.2987 0.3286  -0.04
Pa9 0.0000 0.5000 0.0000  -0.01
N17 0.7013 0.5639 0.1714  -0.04
N18 0.6075 0.6374 0.4361  -0.04
Pa10 0.3750 0.2500 0.1250  0.00
N19 0.6374 0.6075 0.9361  -0.04
N20 0.0639 0.8925 0.3626  -0.04
Pa11 0.0000 0.0000 0.0000  -0.01
Gd3 0.8750 0.7500 0.1250  6.91
N21 0.7987 0.4701 0.3626  -0.04
Pa12 0.0000 0.0000 0.5000  -0.01
N22 0.3286 0.5299 0.3925  -0.04
Pa13 0.8750 0.6250 0.7500  0.00
N23 0.8925 0.8286 0.5299  -0.04
Pa14 0.5000 0.0000 0.5000  -0.01
N24 0.1714 0.0639 0.7013  -0.04
N25 0.3286 0.7987 0.4361  -0.04
N26 0.8286 0.9361 0.2987  -0.04
Gd4 0.3750 0.6250 0.2500  6.91
N27 0.8286 0.8925 0.0299  -0.04
N28 0.2987 0.8626 0.9701  -0.04
Pa15 0.5000 0.5000 0.5000  -0.01
Pa16 0.7500 0.1250 0.8750  0.00
Pa17 0.6250 0.8750 0.2500  0.00
N29 0.9701 0.3626 0.2987  -0.04
N30 0.8925 0.0639 0.8626  -0.04
N31 0.5639 0.7013 0.6714  -0.04
N32 0.8626 0.5639 0.8925  -0.04
N33 0.1075 0.1714 0.4701  -0.04
N34 0.6714 0.2013 0.5639  -0.04
Gd5 0.6250 0.3750 0.7500  6.91
Gd6 0.1250 0.8750 0.7500  6.91
N35 0.3626 0.3925 0.0639  -0.04
N36 0.3925 0.0299 0.3286  -0.04
Gd7 0.7500 0.8750 0.6250  6.91
Gd8 0.6250 0.2500 0.3750  6.91
N37 0.1374 0.4361 0.1075  -0.04
N38 0.9701 0.6075 0.1714  -0.04
N39 0.8626 0.2987 0.4701  -0.04
N40 0.1374 0.7013 0.5299  -0.04
N41 0.6374 0.0299 0.2013  -0.04
N42 0.5299 0.3286 0.8925  -0.04
N43 0.5639 0.8626 0.3925  -0.04
Gd9 0.2500 0.1250 0.3750  6.91
Gd10 0.8750 0.1250 0.2500  6.91
N44 0.3925 0.3626 0.5639  -0.04
Pa18 0.2500 0.8750 0.1250  0.00
Pa19 0.1250 0.3750 0.2500  0.00
N45 0.9361 0.8286 0.7987  -0.04
Gd11 0.7500 0.3750 0.1250  6.91
Pa20 0.7500 0.6250 0.3750  0.00
N46 0.2013 0.5299 0.6374  -0.04
N47 0.2013 0.6714 0.0639  -0.04
Gd12 0.2500 0.6250 0.8750  6.91
N48 0.7013 0.1374 0.0299  -0.04

Summary:
**Uncorrected formation energy**: -1.26 eV per atom


First-principles (PBE) data for a relaxed La2Pr4SmDy crystal, as listed in the Alexandria database.

a b c (Å): 5.2223 5.2029 11.7082
angles (deg): 63.48 90.00 90.00
Positions (direct):
Sm1 0.5000 0.5000 0.0000
Pr1 0.0000 0.2477 0.2515
Pr2 0.5000 0.7490 0.2508
La1 0.5000 0.0000 0.5000
Pr3 0.5000 0.2510 0.7492
Pr4 0.0000 0.7523 0.7485
La2 0.0000 0.0000 0.0000
Dy1 0.0000 0.5000 0.5000

Summary:
**DFT formation energy**: 0.0182 eV/atom


First-principles (PBE) data for a relaxed CuTeBr6 crystal, as listed in the Alexandria database.

a b c (Å): 6.8153 6.8143 7.2279
angles (deg): 61.85 61.83 59.95
Positions (direct):
Br1 0.6150 0.2425 0.2409
Br2 0.7575 0.0985 0.7591
Cu1 0.0000 0.0000 0.0000
Br3 0.3850 0.7575 0.7591
Te1 0.5000 0.5000 0.5000
Br4 0.0984 0.3852 0.7591
Br5 0.2425 0.9015 0.2409
Br6 0.9016 0.6148 0.2409

Summary:
**Uncorrected formation energy**: -0.22 eV per atom


First-principles (PBE) data for a relaxed Pa2ZnCo crystal, as listed in the Alexandria database.

a b c (Å): 3.4284 3.4284 6.7552
angles (deg): 90.00 90.00 90.00
Positions (direct):
Pa1 0.0000 0.0000 0.2107
Pa2 0.0000 0.0000 0.7893
Co1 0.5000 0.5000 0.0000
Zn1 0.5000 0.5000 0.5000

Summary:
**DFT formation energy**: -0.0666 eV/atom
**Relative energy among the computed polymorphs**: 0 meV per atom


First-principles (PBE) data for a relaxed LaAgOs2 crystal, as listed in the Alexandria database.

a b c (Å): 5.1293 5.1293 3.0497
angles (deg): 90.00 90.00 110.88
Positions (direct):
Ag1 0.5000 0.0000 0.5000
La1 0.0000 0.5000 0.5000
Os1 0.5000 0.5000 0.0000
Os2 0.0000 0.0000 0.0000

Summary:
**DFT formation energy**: 0.7872 eV/atom
**Relative energy among the computed polymorphs**: 501 meV per atom


First-principles (PBE) data for a relaxed Li2ZrRh2O6 crystal, as listed in the Alexandria database.

a b c (Å): 5.2964 5.2964 5.5111
angles (deg): 100.94 100.94 120.12
Positions (direct):
Li1 0.8200 0.1800 0.0000
O1 0.5684 0.9193 0.2747
O2 0.9193 0.5684 0.2747
Rh1 0.6641 0.3359 0.5000
O3 0.2403 0.2403 0.2663
O4 0.7597 0.7597 0.7337
O5 0.4316 0.0807 0.7253
Li2 0.1800 0.8200 0.0000
Zr1 0.0000 0.0000 0.5000
O6 0.0807 0.4316 0.7253
Rh2 0.3359 0.6641 0.5000

Summary:
**Uncorrected formation energy**: -1.72 eV per atom


Result set for DFT total energy: -17.34; -19.49; -62.31; -5.04; -16.98; -17.50; -19.57; -63.94; -17.39; -16.99; -49.68; -13.52; -25.46; -52.58; -859.51; -38.15; -19.03; -27.64; -27.09; -75.76 eV per cell, one per record in the order listed.
Result set for magnetic moment: 0.00; 7.28; 0.57; 0.00; 0.00; 0.00; 1.48; 4.87; 0.00; 0.02; 0.00; 0.00; 0.00; 0.00; 20.35; 0.00; 0.00; 0.00; 0.00; 0.00 μB per formula unit, one per record in the order listed.